Below is Cr2PtO5 after structural relaxation, with properties calculated at the GGA+U level.

Cell: 3.995 9.735 9.960 Å, 90.00 90.00 90.00°
Space group Cmcm (No. 63)
One atom of each set of equivalent atoms:
Cr: 0.000 0.145 0.062 [8 per cell]
Pt: 0.000 0.191 0.750 [4 per cell]
O: 0.000 0.051 0.609 [8 per cell]
O: 0.000 0.252 0.250 [4 per cell]
O: 0.000 0.314 0.573 [8 per cell]

Output
raw total energy: -7.0073 eV per atom